Version w
# Mg2NiPb2, relaxed, DFT PBE
# M_tot: 0.000 μB/atom
data_Mg2NiPb2
_chemical_formula_sum 'Mg4 Ni2 Pb4'
_cell_length_a 7.024
_cell_length_b 7.024
_cell_length_c 4.792
_cell_angle_alpha 90.00
_cell_angle_beta 90.00
_cell_angle_gamma 90.00
_symmetry_space_group_name_H-M 'P 1'
_symmetry_Int_Tables_number 1
loop_
_symmetry_equiv_pos_as_xyz
'x,y,z'
loop_
_atom_site_label
_atom_site_type_symbol
_atom_site_fract_x
_atom_site_fract_y
_atom_site_fract_z
Mg1 Mg 0.160 0.340 0.000
Mg2 Mg 0.340 0.840 0.000
Mg3 Mg 0.660 0.160 0.000
Mg4 Mg 0.840 0.660 0.000
Ni1 Ni 0.000 0.000 0.500
Ni2 Ni 0.500 0.500 0.500
Pb1 Pb 0.159 0.659 0.500
Pb2 Pb 0.341 0.159 0.500
Pb3 Pb 0.659 0.841 0.500
Pb4 Pb 0.841 0.341 0.500

***

Version x
# Mg2NiPb2, relaxed, DFT PBE
# M_tot: 0.000 μB/atom
data_Mg2NiPb2
_chemical_formula_sum 'Mg4 Ni2 Pb4'
_cell_length_a 6.876
_cell_length_b 6.876
_cell_length_c 4.940
_cell_angle_alpha 90.00
_cell_angle_beta 90.00
_cell_angle_gamma 90.00
_symmetry_space_group_name_H-M 'P 1'
_symmetry_Int_Tables_number 1
loop_
_symmetry_equiv_pos_as_xyz
'x,y,z'
loop_
_atom_site_label
_atom_site_type_symbol
_atom_site_fract_x
_atom_site_fract_y
_atom_site_fract_z
Mg1 Mg 0.158 0.342 0.000
Mg2 Mg 0.342 0.842 0.000
Mg3 Mg 0.658 0.158 0.000
Mg4 Mg 0.842 0.658 0.000
Ni1 Ni 0.000 0.000 0.000
Ni2 Ni 0.500 0.500 0.000
Pb1 Pb 0.172 0.672 0.500
Pb2 Pb 0.328 0.172 0.500
Pb3 Pb 0.672 0.828 0.500
Pb4 Pb 0.828 0.328 0.500

***

Stability ranking, top entry: version w; the second entry is 3.9 kJ/mol of atoms less favorable.

***

Version w
# MgNi2Pb2, relaxed, DFT PBE
# M_tot: 0.000 μB/atom
data_MgNi2Pb2
_chemical_formula_sum 'Mg1 Ni2 Pb2'
_cell_length_a 8.850
_cell_length_b 8.850
_cell_length_c 8.850
_cell_angle_alpha 157.16
_cell_angle_beta 157.16
_cell_angle_gamma 32.52
_symmetry_space_group_name_H-M 'P 1'
_symmetry_Int_Tables_number 1
loop_
_symmetry_equiv_pos_as_xyz
'x,y,z'
loop_
_atom_site_label
_atom_site_type_symbol
_atom_site_fract_x
_atom_site_fract_y
_atom_site_fract_z
Mg1 Mg 0.000 0.000 0.000
Ni1 Ni 0.250 0.750 0.500
Ni2 Ni 0.750 0.250 0.500
Pb1 Pb 0.373 0.373 0.000
Pb2 Pb 0.627 0.627 0.000

***

Version x
# MgNi2Pb2, relaxed, DFT PBE
# M_tot: 0.000 μB/atom
data_MgNi2Pb2
_chemical_formula_sum 'Mg2 Ni4 Pb4'
_cell_length_a 7.116
_cell_length_b 7.116
_cell_length_c 3.793
_cell_angle_alpha 90.00
_cell_angle_beta 90.00
_cell_angle_gamma 90.00
_symmetry_space_group_name_H-M 'P 1'
_symmetry_Int_Tables_number 1
loop_
_symmetry_equiv_pos_as_xyz
'x,y,z'
loop_
_atom_site_label
_atom_site_type_symbol
_atom_site_fract_x
_atom_site_fract_y
_atom_site_fract_z
Mg1 Mg 0.000 0.000 0.000
Mg2 Mg 0.500 0.500 0.000
Ni1 Ni 0.128 0.372 0.000
Ni2 Ni 0.372 0.872 0.000
Ni3 Ni 0.628 0.128 0.000
Ni4 Ni 0.872 0.628 0.000
Pb1 Pb 0.169 0.669 0.500
Pb2 Pb 0.331 0.169 0.500
Pb3 Pb 0.669 0.831 0.500
Pb4 Pb 0.831 0.331 0.500

***

Stability ranking, top entry: version x; the second entry is 6.9 kJ/mol of atoms less favorable.

***

Version w
# MgNiPb3, relaxed, DFT PBE
# M_tot: 0.000 μB/atom
data_MgNiPb3
_chemical_formula_sum 'Mg1 Ni1 Pb3'
_cell_length_a 5.196
_cell_length_b 5.196
_cell_length_c 5.196
_cell_angle_alpha 90.00
_cell_angle_beta 90.00
_cell_angle_gamma 90.00
_symmetry_space_group_name_H-M 'P 1'
_symmetry_Int_Tables_number 1
loop_
_symmetry_equiv_pos_as_xyz
'x,y,z'
loop_
_atom_site_label
_atom_site_type_symbol
_atom_site_fract_x
_atom_site_fract_y
_atom_site_fract_z
Mg1 Mg 0.000 0.000 0.000
Ni1 Ni 0.500 0.500 0.500
Pb1 Pb 0.000 0.500 0.500
Pb2 Pb 0.500 0.000 0.500
Pb3 Pb 0.500 0.500 0.000

***

Version x
# MgNiPb3, relaxed, DFT PBE
# M_tot: 0.053 μB/atom
data_MgNiPb3
_chemical_formula_sum 'Mg1 Ni1 Pb3'
_cell_length_a 5.448
_cell_length_b 5.448
_cell_length_c 5.448
_cell_angle_alpha 90.00
_cell_angle_beta 90.00
_cell_angle_gamma 90.00
_symmetry_space_group_name_H-M 'P 1'
_symmetry_Int_Tables_number 1
loop_
_symmetry_equiv_pos_as_xyz
'x,y,z'
loop_
_atom_site_label
_atom_site_type_symbol
_atom_site_fract_x
_atom_site_fract_y
_atom_site_fract_z
Mg1 Mg 0.000 0.000 0.000
Ni1 Ni 0.500 0.500 0.500
Pb1 Pb 0.000 0.000 0.500
Pb2 Pb 0.000 0.500 0.000
Pb3 Pb 0.500 0.000 0.000

***

Stability ranking, top entry: version w; the second entry is 69.5 kJ/mol of atoms less favorable.

***

Version w
# Mg2NiPd8, relaxed, DFT PBE
# M_tot: 0.047 μB/atom
data_Mg2NiPd8
_chemical_formula_sum 'Mg2 Ni1 Pd8'
_cell_length_a 7.529
_cell_length_b 7.529
_cell_length_c 4.859
_cell_angle_alpha 94.20
_cell_angle_beta 94.20
_cell_angle_gamma 40.67
_symmetry_space_group_name_H-M 'P 1'
_symmetry_Int_Tables_number 1
loop_
_symmetry_equiv_pos_as_xyz
'x,y,z'
loop_
_atom_site_label
_atom_site_type_symbol
_atom_site_fract_x
_atom_site_fract_y
_atom_site_fract_z
Mg1 Mg 0.180 0.180 0.374
Mg2 Mg 0.820 0.820 0.626
Ni1 Ni 0.000 0.000 0.500
Pd1 Pd 0.164 0.666 0.112
Pd2 Pd 0.256 0.256 0.889
Pd3 Pd 0.334 0.836 0.888
Pd4 Pd 0.416 0.416 0.610
Pd5 Pd 0.584 0.584 0.390
Pd6 Pd 0.666 0.164 0.112
Pd7 Pd 0.744 0.744 0.111
Pd8 Pd 0.836 0.334 0.888

***

Version x
# Mg2NiPd8, relaxed, DFT PBE
# M_tot: 0.131 μB/atom
data_Mg2NiPd8
_chemical_formula_sum 'Mg2 Ni1 Pd8'
_cell_length_a 7.395
_cell_length_b 7.395
_cell_length_c 7.395
_cell_angle_alpha 146.04
_cell_angle_beta 129.33
_cell_angle_gamma 62.40
_symmetry_space_group_name_H-M 'P 1'
_symmetry_Int_Tables_number 1
loop_
_symmetry_equiv_pos_as_xyz
'x,y,z'
loop_
_atom_site_label
_atom_site_type_symbol
_atom_site_fract_x
_atom_site_fract_y
_atom_site_fract_z
Mg1 Mg 0.197 0.197 0.000
Mg2 Mg 0.803 0.803 0.000
Ni1 Ni 0.500 0.500 0.000
Pd1 Pd 0.081 0.360 0.721
Pd2 Pd 0.218 0.000 0.218
Pd3 Pd 0.335 0.835 0.500
Pd4 Pd 0.361 0.640 0.721
Pd5 Pd 0.639 0.360 0.279
Pd6 Pd 0.665 0.165 0.500
Pd7 Pd 0.782 0.000 0.782
Pd8 Pd 0.919 0.640 0.279

***

Stability ranking, top entry: version x; the second entry is 7.6 kJ/mol of atoms less favorable.

***

Version w
# MgNiPd, relaxed, DFT PBE
# M_tot: 0.000 μB/atom
data_MgNiPd
_chemical_formula_sum 'Mg1 Ni1 Pd1'
_cell_length_a 5.330
_cell_length_b 5.330
_cell_length_c 5.330
_cell_angle_alpha 147.64
_cell_angle_beta 147.64
_cell_angle_gamma 46.42
_symmetry_space_group_name_H-M 'P 1'
_symmetry_Int_Tables_number 1
loop_
_symmetry_equiv_pos_as_xyz
'x,y,z'
loop_
_atom_site_label
_atom_site_type_symbol
_atom_site_fract_x
_atom_site_fract_y
_atom_site_fract_z
Mg1 Mg 0.000 0.000 0.000
Ni1 Ni 0.661 0.661 0.000
Pd1 Pd 0.323 0.323 0.000

***

Version x
# MgNiPd, relaxed, DFT PBE
# M_tot: 0.000 μB/atom
data_MgNiPd
_chemical_formula_sum 'Mg2 Ni2 Pd2'
_cell_length_a 4.607
_cell_length_b 4.607
_cell_length_c 5.553
_cell_angle_alpha 104.01
_cell_angle_beta 104.01
_cell_angle_gamma 49.58
_symmetry_space_group_name_H-M 'P 1'
_symmetry_Int_Tables_number 1
loop_
_symmetry_equiv_pos_as_xyz
'x,y,z'
loop_
_atom_site_label
_atom_site_type_symbol
_atom_site_fract_x
_atom_site_fract_y
_atom_site_fract_z
Mg1 Mg 0.156 0.156 0.314
Mg2 Mg 0.844 0.844 0.686
Ni1 Ni 0.176 0.176 0.848
Ni2 Ni 0.824 0.824 0.152
Pd1 Pd 0.500 0.500 0.000
Pd2 Pd 0.500 0.500 0.500

***

Stability ranking, top entry: version x; the second entry is 5.4 kJ/mol of atoms less favorable.

***

Version w
# MgZnNiPd, relaxed, DFT PBE
# M_tot: 0.000 μB/atom
data_MgZnNiPd
_chemical_formula_sum 'Mg1 Zn1 Ni1 Pd1'
_cell_length_a 4.312
_cell_length_b 4.312
_cell_length_c 4.312
_cell_angle_alpha 60.00
_cell_angle_beta 60.00
_cell_angle_gamma 60.00
_symmetry_space_group_name_H-M 'P 1'
_symmetry_Int_Tables_number 1
loop_
_symmetry_equiv_pos_as_xyz
'x,y,z'
loop_
_atom_site_label
_atom_site_type_symbol
_atom_site_fract_x
_atom_site_fract_y
_atom_site_fract_z
Mg1 Mg 0.000 0.000 0.000
Zn1 Zn 0.500 0.500 0.500
Ni1 Ni 0.250 0.250 0.250
Pd1 Pd 0.750 0.750 0.750

***

Version x
# MgZnNiPd, relaxed, DFT PBE
# M_tot: 0.000 μB/atom
data_MgZnNiPd
_chemical_formula_sum 'Mg1 Zn1 Ni1 Pd1'
_cell_length_a 4.489
_cell_length_b 4.489
_cell_length_c 4.489
_cell_angle_alpha 126.37
_cell_angle_beta 126.37
_cell_angle_gamma 79.27
_symmetry_space_group_name_H-M 'P 1'
_symmetry_Int_Tables_number 1
loop_
_symmetry_equiv_pos_as_xyz
'x,y,z'
loop_
_atom_site_label
_atom_site_type_symbol
_atom_site_fract_x
_atom_site_fract_y
_atom_site_fract_z
Mg1 Mg 0.000 0.000 0.000
Zn1 Zn 0.500 0.500 0.000
Ni1 Ni 0.750 0.250 0.500
Pd1 Pd 0.250 0.750 0.500

***

Stability ranking, top entry: version x; the second entry is 1.4 kJ/mol of atoms less favorable.

***

Version w
# PmMg3Ni2, relaxed, DFT PBE
# M_tot: 0.000 μB/atom
data_PmMg3Ni2
_chemical_formula_sum 'Pm2 Mg6 Ni4'
_cell_length_a 8.246
_cell_length_b 8.246
_cell_length_c 8.609
_cell_angle_alpha 117.82
_cell_angle_beta 117.82
_cell_angle_gamma 27.81
_symmetry_space_group_name_H-M 'P 1'
_symmetry_Int_Tables_number 1
loop_
_symmetry_equiv_pos_as_xyz
'x,y,z'
loop_
_atom_site_label
_atom_site_type_symbol
_atom_site_fract_x
_atom_site_fract_y
_atom_site_fract_z
Pm1 Pm 0.129 0.129 0.163
Pm2 Pm 0.871 0.871 0.837
Mg1 Mg 0.033 0.033 0.691
Mg2 Mg 0.322 0.322 0.103
Mg3 Mg 0.357 0.357 0.503
Mg4 Mg 0.643 0.643 0.497
Mg5 Mg 0.678 0.678 0.897
Mg6 Mg 0.967 0.967 0.309
Ni1 Ni 0.216 0.216 0.735
Ni2 Ni 0.497 0.497 0.137
Ni3 Ni 0.503 0.503 0.863
Ni4 Ni 0.784 0.784 0.265

***

Version x
# PmMg3Ni2, relaxed, DFT PBE
# M_tot: 0.000 μB/atom
data_PmMg3Ni2
_chemical_formula_sum 'Pm2 Mg6 Ni4'
_cell_length_a 7.604
_cell_length_b 7.604
_cell_length_c 10.453
_cell_angle_alpha 122.10
_cell_angle_beta 122.10
_cell_angle_gamma 29.71
_symmetry_space_group_name_H-M 'P 1'
_symmetry_Int_Tables_number 1
loop_
_symmetry_equiv_pos_as_xyz
'x,y,z'
loop_
_atom_site_label
_atom_site_type_symbol
_atom_site_fract_x
_atom_site_fract_y
_atom_site_fract_z
Pm1 Pm 0.147 0.147 0.228
Pm2 Pm 0.853 0.853 0.772
Mg1 Mg 0.152 0.152 0.741
Mg2 Mg 0.415 0.415 0.547
Mg3 Mg 0.417 0.417 0.079
Mg4 Mg 0.583 0.583 0.921
Mg5 Mg 0.585 0.585 0.453
Mg6 Mg 0.848 0.848 0.259
Ni1 Ni 0.227 0.227 0.042
Ni2 Ni 0.231 0.231 0.552
Ni3 Ni 0.769 0.769 0.448
Ni4 Ni 0.773 0.773 0.958

***

Stability ranking, top entry: version x; the second entry is 0.6 kJ/mol of atoms less favorable.

***

Version w
# PmMgNi, relaxed, DFT PBE
# M_tot: 0.000 μB/atom
data_PmMgNi
_chemical_formula_sum 'Pm4 Mg4 Ni4'
_cell_length_a 7.853
_cell_length_b 4.835
_cell_length_c 6.796
_cell_angle_alpha 90.00
_cell_angle_beta 90.00
_cell_angle_gamma 90.00
_symmetry_space_group_name_H-M 'P 1'
_symmetry_Int_Tables_number 1
loop_
_symmetry_equiv_pos_as_xyz
'x,y,z'
loop_
_atom_site_label
_atom_site_type_symbol
_atom_site_fract_x
_atom_site_fract_y
_atom_site_fract_z
Pm1 Pm 0.052 0.250 0.191
Pm2 Pm 0.448 0.750 0.691
Pm3 Pm 0.552 0.250 0.309
Pm4 Pm 0.948 0.750 0.809
Mg1 Mg 0.183 0.250 0.632
Mg2 Mg 0.317 0.750 0.132
Mg3 Mg 0.683 0.250 0.868
Mg4 Mg 0.817 0.750 0.368
Ni1 Ni 0.139 0.750 0.449
Ni2 Ni 0.361 0.250 0.949
Ni3 Ni 0.639 0.750 0.051
Ni4 Ni 0.861 0.250 0.551

***

Version x
# PmMgNi, relaxed, DFT PBE
# M_tot: 0.000 μB/atom
data_PmMgNi
_chemical_formula_sum 'Pm6 Mg6 Ni6'
_cell_length_a 12.973
_cell_length_b 3.933
_cell_length_c 7.599
_cell_angle_alpha 90.00
_cell_angle_beta 90.00
_cell_angle_gamma 90.00
_symmetry_space_group_name_H-M 'P 1'
_symmetry_Int_Tables_number 1
loop_
_symmetry_equiv_pos_as_xyz
'x,y,z'
loop_
_atom_site_label
_atom_site_type_symbol
_atom_site_fract_x
_atom_site_fract_y
_atom_site_fract_z
Pm1 Pm 0.043 0.000 0.227
Pm2 Pm 0.250 0.000 0.860
Pm3 Pm 0.457 0.000 0.227
Pm4 Pm 0.543 0.000 0.773
Pm5 Pm 0.750 0.000 0.140
Pm6 Pm 0.957 0.000 0.773
Mg1 Mg 0.130 0.500 0.566
Mg2 Mg 0.250 0.500 0.208
Mg3 Mg 0.370 0.500 0.566
Mg4 Mg 0.630 0.500 0.434
Mg5 Mg 0.750 0.500 0.792
Mg6 Mg 0.870 0.500 0.434
Ni1 Ni 0.092 0.500 0.945
Ni2 Ni 0.250 0.000 0.441
Ni3 Ni 0.408 0.500 0.945
Ni4 Ni 0.592 0.500 0.055
Ni5 Ni 0.750 0.000 0.559
Ni6 Ni 0.908 0.500 0.055

***

Version y
# PmMgNi, relaxed, DFT PBE
# M_tot: 0.000 μB/atom
data_PmMgNi
_chemical_formula_sum 'Pm1 Mg1 Ni1'
_cell_length_a 6.204
_cell_length_b 6.204
_cell_length_c 6.204
_cell_angle_alpha 148.67
_cell_angle_beta 148.67
_cell_angle_gamma 44.89
_symmetry_space_group_name_H-M 'P 1'
_symmetry_Int_Tables_number 1
loop_
_symmetry_equiv_pos_as_xyz
'x,y,z'
loop_
_atom_site_label
_atom_site_type_symbol
_atom_site_fract_x
_atom_site_fract_y
_atom_site_fract_z
Pm1 Pm 0.000 0.000 0.000
Mg1 Mg 0.727 0.727 0.000
Ni1 Ni 0.352 0.352 0.000

***

Version z
# PmMgNi, relaxed, DFT PBE
# M_tot: 0.000 μB/atom
data_PmMgNi
_chemical_formula_sum 'Pm1 Mg1 Ni1'
_cell_length_a 4.643
_cell_length_b 4.643
_cell_length_c 4.643
_cell_angle_alpha 60.00
_cell_angle_beta 60.00
_cell_angle_gamma 60.00
_symmetry_space_group_name_H-M 'P 1'
_symmetry_Int_Tables_number 1
loop_
_symmetry_equiv_pos_as_xyz
'x,y,z'
loop_
_atom_site_label
_atom_site_type_symbol
_atom_site_fract_x
_atom_site_fract_y
_atom_site_fract_z
Pm1 Pm 0.000 0.000 0.000
Mg1 Mg 0.500 0.500 0.500
Ni1 Ni 0.250 0.250 0.250

***

Stability ranking, top entry: version x; the second entry is 8.8 kJ/mol of atoms less favorable.